Computed, not measured: crystalline CrCdHg2Br at its relaxed geometry at the GGA-PBE level of DFT.

a b c (Å): 5.4045 5.5068 5.4045
angles (deg): 90.00 90.00 90.00
With the nearest neighbours (Å) after each atom.
Fractional positions:
Cd 0.0000 0.5000 0.0000  2 Cr 2.75
Cr 0.0000 0.0000 0.0000  4 Hg 2.70, 2 Cd 2.75
Br 0.5000 0.5000 0.5000  4 Cd 3.82, 8 Hg 3.86
Hg 0.0000 0.0000 0.5000  2 Cr 2.70
Hg 0.5000 0.0000 0.0000  2 Cr 2.70

Output
D(E_F): 0.22 states/eV/atom
volume: 160.85 Å³/cell
DFT total energy: -11.58 eV per cell
total moment: 4.84 μB/f.u.